# RbSmSnSe3

A relaxed structure of RbSmSnSe3 (GGA-PBE, Alexandria via LeMat-Bulk).

Cell lengths 4.258, 8.928, 11.754 Å; angles 108.17, 90.00, 90.00 degrees
Positions (direct):
Rb (0.750, 0.776, 0.741)
Rb (0.250, 0.224, 0.259)
Sm (0.250, 0.639, 0.149)
Sm (0.750, 0.361, 0.851)
Sn (0.250, 0.145, 0.565)
Sn (0.750, 0.855, 0.435)
Se (0.250, 0.646, 0.405)
Se (0.750, 0.886, 0.215)
Se (0.750, 0.403, 0.105)
Se (0.750, 0.354, 0.595)
Se (0.250, 0.597, 0.895)
Se (0.250, 0.114, 0.785)

Summary:
raw total energy: -4.648 eV per atom
calculated volume: 425 Å³ per cell
symmetry: P2_1/m, No. 11
uncorrected formation energy: -1.29 eV per atom